The following is a DFT calculation (PBE+U) of a relaxed LaCoO2 crystal.

Summary:
raw total energy: -6.592 eV/atom
D(E_F): 17.341 states/eV per cell
magnetic moment: 8.07 μB/cell

a b c (Å): 5.888 5.888 5.888
angles (deg): 90.00 90.00 90.00
Space group Fm-3m (No. 225)
One atom of each set of equivalent atoms:
La: 0.000 0.000 0.000 x4
Co: 0.000 0.000 0.500 x4
O: 0.250 0.250 0.250 x8



The following is a DFT calculation (PBE+U) of a relaxed LaCo3O crystal.

Summary:
raw total energy: -4.772 eV/atom
D(E_F): 0.985 states/eV per cell
magnetic moment: 4.19 μB/cell

a b c (Å): 4.165 4.165 4.165
angles (deg): 90.00 90.00 90.00
Space group Pm-3m (No. 221)
One atom of each set of equivalent atoms:
La: 0.000 0.000 0.000 x1
Co: 0.000 0.500 0.500 x3
O: 0.500 0.500 0.500 x1



The following is a DFT calculation (PBE+U) of a relaxed LaCo3O3 crystal.

Summary:
raw total energy: -5.923 eV/atom
D(E_F): 4.265 states/eV per cell
magnetic moment: 12.71 μB/cell

a b c (Å): 5.376 9.480 3.582
angles (deg): 90.00 90.00 90.00
Space group Cmmm (No. 65)
One atom of each set of equivalent atoms:
La: 0.000 0.000 0.000 x2
Co: 0.000 0.500 0.500 x2
Co: 0.250 0.250 0.500 x4
O: 0.000 0.500 0.000 x2
O: 0.250 0.250 0.000 x4



The following is a DFT calculation (PBE+U) of a relaxed La4CoO2 crystal.

Summary:
raw total energy: -6.136 eV/atom
D(E_F): 9.727 states/eV per cell
magnetic moment: 0.00 μB/cell

a b c (Å): 5.142 5.142 13.179
angles (deg): 90.00 90.00 90.00
Space group I4/mmm (No. 139)
One atom of each set of equivalent atoms:
La: 0.000 0.000 0.246 x4
La: 0.000 0.500 0.000 x4
Co: 0.000 0.000 0.000 x2
O: 0.000 0.000 0.404 x4



The following is a DFT calculation (PBE+U) of a relaxed La2Co2O5 crystal.

Summary:
raw total energy: -7.311 eV/atom
magnetic moment: 24.00 μB/cell

a b c (Å): 15.707 5.818 5.504
angles (deg): 90.00 90.00 90.00
Space group Ima2 (No. 46)
One atom of each set of equivalent atoms:
La: 0.111 0.021 0.000 x8
Co: 0.000 0.000 0.511 x4
Co: 0.250 0.560 0.971 x4
O: 0.018 0.744 0.755 x8
O: 0.142 0.086 0.553 x8
O: 0.250 0.617 0.604 x4



The following is a DFT calculation (PBE+U) of a relaxed LaCoP2O crystal.

Summary:
raw total energy: -4.746 eV/atom
D(E_F): 4.125 states/eV per cell
magnetic moment: 1.29 μB/cell

a b c (Å): 5.689 5.689 4.191
angles (deg): 90.00 90.00 90.00
Space group P4/mmm (No. 123)
One atom of each set of equivalent atoms:
La: 0.000 0.000 0.000 x1
Co: 0.500 0.500 0.500 x1
P: 0.000 0.500 0.000 x2
O: 0.000 0.000 0.500 x1



The following is a DFT calculation (PBE+U) of a relaxed LaCoP2O crystal.

Summary:
raw total energy: -5.711 eV/atom
D(E_F): 3.406 states/eV per cell
magnetic moment: 1.77 μB/cell

a b c (Å): 4.256 4.256 4.596
angles (deg): 90.00 90.00 90.00
Space group P4/mmm (No. 123)
One atom of each set of equivalent atoms:
La: 0.000 0.000 0.000 x1
Co: 0.500 0.500 0.500 x1
P: 0.000 0.500 0.500 x2
O: 0.500 0.500 0.000 x1



The following is a DFT calculation (PBE+U) of a relaxed LaPa2CoO8 crystal.

Summary:
raw total energy: -8.471 eV/atom
D(E_F): 0.000 states/eV per cell
magnetic moment: 0.08 μB/cell

a b c (Å): 5.1671 5.1671 6.4872
angles (deg): 90.00 90.00 120.00
Space group P-3m1 (No. 164)
One atom of each set of equivalent atoms:
La: 0.0000 0.0000 0.0000 x1
Pa: 0.3333 0.6667 0.3699 x2
Co: 0.0000 0.0000 0.5000 x1
O: 0.1685 0.3370 0.6676 x6
O: 0.3333 0.6667 0.0729 x2



The following is a DFT calculation (PBE+U) of a relaxed La2PaCo3O12 crystal.

Summary:
raw total energy: -7.144 eV/atom
D(E_F): 14.560 states/eV per cell
magnetic moment: 12.00 μB/cell

a b c (Å): 6.8088 6.8088 15.4474
angles (deg): 90.00 90.00 120.00
Space group R-3m (No. 166, hexagonal axes)
One atom of each set of equivalent atoms:
La: 0.0000 0.0000 0.1138 x6
Pa: 0.0000 0.0000 0.5000 x3
Co: 0.0000 0.5000 0.0000 x9
O: 0.0517 0.5258 0.8815 x18
O: 0.0688 0.5344 0.3005 x18



The following is a DFT calculation (PBE+U) of a relaxed LaPaCo2O8 crystal.

Summary:
raw total energy: -7.374 eV/atom
D(E_F): 1.074 states/eV per cell
magnetic moment: 3.93 μB/cell

a b c (Å): 7.171 7.171 6.552
angles (deg): 90.00 90.00 90.00
Space group I-4m2 (No. 119)
One atom of each set of equivalent atoms:
La: 0.000 0.000 0.000 x2
Pa: 0.000 0.500 0.250 x2
Co: 0.000 0.000 0.500 x2
Co: 0.000 0.500 0.750 x2
O: 0.000 0.187 0.321 x8
O: 0.000 0.334 0.947 x8



The following is a DFT calculation (PBE+U) of a relaxed La2CoPbO6 crystal.

Summary:
raw total energy: -6.953 eV/atom
D(E_F): 3.345 states/eV per cell
magnetic moment: 1.73 μB/cell

a b c (Å): 5.680 5.957 9.890
angles (deg): 90.00 124.12 90.00
Space group P2_1/c (No. 14)
One atom of each set of equivalent atoms:
La: 0.232 0.060 0.250 x4
Co: 0.000 0.000 0.500 x2
Pb: 0.500 0.000 0.000 x2
O: 0.111 0.220 0.936 x4
O: 0.229 0.680 0.946 x4
O: 0.338 0.044 0.727 x4



The following is a DFT calculation (PBE+U) of a relaxed LaCoSbPbO6 crystal.

Summary:
raw total energy: -6.596 eV/atom
D(E_F): 0.000 states/eV per cell
magnetic moment: 6.00 μB/cell

a b c (Å): 5.722 5.794 9.881
angles (deg): 90.00 125.31 90.00
Space group Pc (No. 7)
One atom of each set of equivalent atoms:
La: 0.000 0.202 0.000 x2
Co: 0.761 0.257 0.250 x2
Sb: 0.264 0.256 0.752 x2
Pb: 0.516 0.274 0.499 x2
O: 0.027 0.460 0.207 x2
O: 0.088 0.224 0.508 x2
O: 0.415 0.262 0.995 x2
O: 0.518 0.019 0.293 x2
O: 0.595 0.450 0.798 x2
O: 0.956 0.037 0.715 x2